No. 1
## AlFe3Pt (SCAN)

Data for a PBEsol-optimized structure of AlFe3Pt.

abc: 4.5979 4.5979 4.5979
angles: 90.00 90.00 90.00
With the nearest neighbours (Å) after each atom.
Fractional positions:
Al1 0.0000 0.0000 0.0000  12 Fe 3.25
Fe1 0.0000 0.5000 0.5000  2 Pt 2.30
Fe2 0.5000 0.0000 0.5000  2 Pt 2.30
Fe3 0.5000 0.5000 0.0000  2 Pt 2.30
Pt1 0.5000 0.5000 0.5000  6 Fe 2.30

Values from the calculation:
* formation energy: 0.90 eV/atom
* space group: No. 221

=====

No. 2
## RbTa2Ir (SCAN)

Data for a PBEsol-optimized structure of RbTa2Ir.

abc: 4.6564 4.6564 4.6564
angles: 60.00 60.00 60.00
With the nearest neighbours (Å) after each atom.
Fractional positions:
Rb1 0.0000 0.0000 0.0000  8 Ta 2.85
Ta1 0.2500 0.2500 0.2500  4 Ir 2.85, 4 Rb 2.85
Ta2 0.7500 0.7500 0.7500  4 Ir 2.85, 4 Rb 2.85
Ir1 0.5000 0.5000 0.5000  8 Ta 2.85

Values from the calculation:
* formation energy: 1.14 eV/atom
* space group: No. 225

=====

No. 3
## CoW3 (SCAN)

Data for a PBEsol-optimized structure of CoW3.

abc: 9.2383 9.2383 9.2383
angles: 16.95 16.95 16.95
With the nearest neighbours (Å) after each atom.
Fractional positions:
Co1 0.0000 0.0000 0.0000  6 W 2.61, 6 Co 2.72
W1 0.2572 0.2572 0.2572  3 Co 2.61, 6 W 2.72
W2 0.5000 0.5000 0.5000  12 W 2.72-2.93
W3 0.7428 0.7428 0.7428  3 Co 2.61, 6 W 2.72

Values from the calculation:
* formation energy: 0.47 eV/atom
* space group: No. 166

=====

No. 4
## SrMo2W (SCAN)

Data for a PBEsol-optimized structure of SrMo2W.

abc: 9.4800 9.4800 9.4800
angles: 18.73 18.73 18.73
With the nearest neighbours (Å) after each atom.
Fractional positions:
Sr1 0.0000 0.0000 0.0000  6 Sr 3.09, 6 Mo 3.27
Mo1 0.2351 0.2351 0.2351  3 W 2.61
Mo2 0.7649 0.7649 0.7649  3 W 2.61
W1 0.5000 0.5000 0.5000  6 Mo 2.61

Values from the calculation:
* relative energy among the computed polymorphs: 0.58 eV/f.u.
* formation energy: 0.95 eV/atom
* space group: No. 166

=====

No. 5
## NbGa3Pb (SCAN)

Data for a PBEsol-optimized structure of NbGa3Pb.

abc: 4.9838 4.9838 4.9838
angles: 90.00 90.00 90.00
With the nearest neighbours (Å) after each atom.
Fractional positions:
Nb1 0.0000 0.0000 0.0000  6 Ga 2.49
Ga1 0.0000 0.0000 0.5000  2 Nb 2.49
Ga2 0.0000 0.5000 0.0000  2 Nb 2.49
Ga3 0.5000 0.0000 0.0000  2 Nb 2.49
Pb1 0.5000 0.5000 0.5000  12 Ga 3.52

Values from the calculation:
* formation energy: 0.37 eV/atom
* space group: No. 221

=====

No. 6
## NdAlO3 (SCAN)

Data for a PBEsol-optimized structure of NdAlO3.

abc: 3.7336 3.7336 3.7336
angles: 90.00 90.00 90.00
With the nearest neighbours (Å) after each atom.
Fractional positions:
Nd1 0.0000 0.0000 0.0000  12 O 2.64
Al1 0.5000 0.5000 0.5000  6 O 1.87
O1 0.0000 0.5000 0.5000  2 Al 1.87
O2 0.5000 0.0000 0.5000  2 Al 1.87
O3 0.5000 0.5000 0.0000  2 Al 1.87

Values from the calculation:
* space group: No. 221
* formation energy (no corrections): -3.623 eV/atom

=====

No. 7
## PrSe2 (SCAN)

Data for a PBEsol-optimized structure of PrSe2.

abc: 4.1301 4.1301 8.5155
angles: 90.00 90.00 90.00
With the nearest neighbours (Å) after each atom.
Fractional positions:
Pr1 0.2500 0.2500 0.2266  9 Se 3.03-3.11
Pr2 0.7500 0.7500 0.7734  9 Se 3.03-3.11
Se1 0.2500 0.2500 0.8673  5 Pr 3.03-3.06
Se2 0.2500 0.7500 0.5000  4 Se 2.92, 4 Pr 3.11
Se3 0.7500 0.2500 0.5000  4 Se 2.92, 4 Pr 3.11
Se4 0.7500 0.7500 0.1327  5 Pr 3.03-3.06

Values from the calculation:
* space group: No. 129
* formation energy (no corrections): -1.835 eV/atom

=====

No. 8
## LaTiS2N (SCAN)

Data for a PBEsol-optimized structure of LaTiS2N.

abc: 5.3828 5.3828 4.0435
angles: 90.00 90.00 90.00
With the nearest neighbours (Å) after each atom.
Fractional positions:
La1 0.0000 0.0000 0.0000  2 N 2.02
Ti1 0.5000 0.5000 0.5000  8 S 3.37
S1 0.0000 0.5000 0.0000  2 La 2.69
S2 0.5000 0.0000 0.0000  2 La 2.69
N1 0.0000 0.0000 0.5000  2 La 2.02

Values from the calculation:
* space group: No. 123
* formation energy (no corrections): 0.005 eV/atom

=====

No. 9
## MnAgPb (SCAN)

Data for a PBEsol-optimized structure of MnAgPb.

abc: 6.1123 6.1123 6.1123
angles: 149.45 149.45 43.74
With the nearest neighbours (Å) after each atom.
Fractional positions:
Mn1 0.0000 0.0000 0.0000  4 Ag 2.73, 4 Pb 3.02
Ag1 0.3670 0.3670 0.0000  4 Mn 2.73
Pb1 0.6750 0.6750 0.0000  4 Mn 3.02, 4 Ag 3.15, 4 Pb 3.22

Values from the calculation:
* formation energy: 0.11 eV/atom
* space group: No. 107

=====

No. 10
## ReMo3 (SCAN)

Data for a PBEsol-optimized structure of ReMo3.

abc: 5.4002 5.4002 4.3924
angles: 90.00 90.00 109.48
With the nearest neighbours (Å) after each atom.
Fractional positions:
Re1 0.1237 0.8763 0.7500  8 Mo 2.69-2.71
Re2 0.8763 0.1237 0.2500  8 Mo 2.69-2.71
Mo1 0.1264 0.3763 0.7500  4 Mo 2.69-2.70, 4 Re 2.69-2.71
Mo2 0.3736 0.6264 0.2500  8 Mo 2.69-2.70
Mo3 0.3763 0.1264 0.2500  4 Mo 2.69-2.70, 4 Re 2.69-2.71
Mo4 0.6237 0.8736 0.7500  4 Mo 2.69-2.70, 4 Re 2.69-2.71
Mo5 0.6264 0.3736 0.7500  8 Mo 2.69-2.70
Mo6 0.8736 0.6237 0.2500  4 Mo 2.69-2.70, 4 Re 2.69-2.71

Values from the calculation:
* formation energy: 0.00 eV/atom
* space group: No. 63

=====

No. 11
## ScZnPO2 (SCAN)

Data for a PBEsol-optimized structure of ScZnPO2.

abc: 3.6821 3.6821 5.9967
angles: 90.00 90.00 90.00
With the nearest neighbours (Å) after each atom.
Fractional positions:
Sc1 0.0000 0.0000 0.0000  4 P 2.60
Zn1 0.0000 0.0000 0.5000  4 O 1.84
P1 0.5000 0.5000 0.0000  4 Sc 2.60
O1 0.0000 0.5000 0.5000  2 Zn 1.84
O2 0.5000 0.0000 0.5000  2 Zn 1.84

Values from the calculation:
* space group: No. 123
* formation energy (no corrections): -0.422 eV/atom

=====

No. 12
## TlW2Au (SCAN)

Data for a PBEsol-optimized structure of TlW2Au.

abc: 2.7944 4.6549 5.4912
angles: 90.00 103.77 90.00
With the nearest neighbours (Å) after each atom.
Fractional positions:
Tl1 0.0000 0.0000 0.0000  2 Au 2.77, 2 Tl 2.79, 4 W 2.89
W1 0.2459 0.5000 0.7433  4 W 2.70-2.84, 2 Au 2.86, 2 Tl 2.89
W2 0.7541 0.5000 0.2567  4 W 2.70-2.84, 2 Au 2.86, 2 Tl 2.89
Au1 0.5000 0.0000 0.5000  2 Tl 2.77, 2 Au 2.79, 4 W 2.86

Values from the calculation:
* relative energy among the computed polymorphs: 0.16 eV/f.u.
* formation energy: 0.86 eV/atom
* space group: No. 10

=====

No. 13
## Zn3TcSb (SCAN)

Data for a PBEsol-optimized structure of Zn3TcSb.

abc: 4.9921 4.9921 4.9921
angles: 90.00 90.00 90.00
With the nearest neighbours (Å) after each atom.
Fractional positions:
Zn1 0.0000 0.0000 0.5000  2 Sb 2.50
Zn2 0.0000 0.5000 0.0000  2 Sb 2.50
Zn3 0.5000 0.0000 0.0000  2 Sb 2.50
Tc1 0.5000 0.5000 0.5000  12 Zn 3.53
Sb1 0.0000 0.0000 0.0000  6 Zn 2.50

Values from the calculation:
* space group: No. 221
* formation energy (no corrections): 1.387 eV/atom

=====

No. 14
## HoInRh (SCAN)

Data for a PBEsol-optimized structure of HoInRh.

abc: 7.3763 7.3763 3.8592
angles: 90.00 90.00 120.00
With the nearest neighbours (Å) after each atom.
Fractional positions:
Ho1 0.0000 0.4064 0.0000  5 Rh 2.96-3.00, 6 In 3.14-3.26
Ho2 0.4064 0.0000 0.0000  5 Rh 2.96-3.00, 6 In 3.14-3.26
Ho3 0.5936 0.5936 0.0000  5 Rh 2.96-3.00, 6 In 3.14-3.26
In1 0.0000 0.7425 0.5000  4 Rh 2.71-2.78
In2 0.2575 0.2575 0.5000  4 Rh 2.71-2.78
In3 0.7425 0.0000 0.5000  4 Rh 2.71-2.78
Rh1 0.0000 0.0000 0.0000  6 In 2.71, 3 Ho 3.00
Rh2 0.3333 0.6667 0.5000  3 In 2.78, 6 Ho 2.96
Rh3 0.6667 0.3333 0.5000  3 In 2.78, 6 Ho 2.96

Values from the calculation:
* formation energy: -0.88 eV/atom
* space group: No. 189

=====

No. 15
## TlFeSe (SCAN)

Data for a PBEsol-optimized structure of TlFeSe.

abc: 4.4305 4.4305 4.4305
angles: 60.00 60.00 60.00
With the nearest neighbours (Å) after each atom.
Fractional positions:
Tl1 0.0000 0.0000 0.0000  4 Fe 2.71
Fe1 0.7500 0.7500 0.7500  4 Tl 2.71, 4 Se 2.71
Se1 0.5000 0.5000 0.5000  4 Fe 2.71

Values from the calculation:
* relative energy among the computed polymorphs: 0.70 eV/f.u.
* space group: No. 216
* formation energy (no corrections): 0.250 eV/atom

=====

No. 16
## MgAg2P2 (SCAN)

Data for a PBEsol-optimized structure of MgAg2P2.

abc: 5.9978 5.9978 5.9978
angles: 139.61 139.61 58.45
With the nearest neighbours (Å) after each atom.
Fractional positions:
Mg1 0.0000 0.0000 0.0000  8 P 3.13, 8 Ag 3.34
Ag1 0.2500 0.7500 0.5000  4 P 2.57
Ag2 0.7500 0.2500 0.5000  4 P 2.57
P1 0.3952 0.3952 0.0000  1 P 2.19
P2 0.6048 0.6048 0.0000  1 P 2.19

Values from the calculation:
* formation energy: 0.07 eV/atom
* space group: No. 139

=====

No. 17
## NaPdSe2Br (SCAN)

Data for a PBEsol-optimized structure of NaPdSe2Br.

abc: 5.0094 5.0094 5.0642
angles: 90.00 90.00 90.00
With the nearest neighbours (Å) after each atom.
Fractional positions:
Na1 0.0000 0.0000 0.0000  4 Se 2.50, 2 Br 2.53
Pd1 0.5000 0.5000 0.5000  4 Br 3.54, 8 Se 3.56
Se1 0.0000 0.5000 0.0000  2 Na 2.50
Se2 0.5000 0.0000 0.0000  2 Na 2.50
Br1 0.0000 0.0000 0.5000  2 Na 2.53

Values from the calculation:
* space group: No. 123
* formation energy (no corrections): 0.687 eV/atom

=====

No. 18
## CsLiCaAg2 (SCAN)

Data for a PBEsol-optimized structure of CsLiCaAg2.

abc: 5.6015 5.6015 6.7158
angles: 90.00 90.00 90.00
With the nearest neighbours (Å) after each atom.
Fractional positions:
Cs1 0.0000 0.0000 0.0000  2 Ca 3.36
Li1 0.5000 0.5000 0.0000  4 Cs 3.96, 8 Ag 4.37
Ca1 0.0000 0.0000 0.5000  4 Ag 2.80
Ag1 0.0000 0.5000 0.5000  2 Ca 2.80
Ag2 0.5000 0.0000 0.5000  2 Ca 2.80

Values from the calculation:
* formation energy: 0.64 eV/atom
* space group: No. 123

=====

No. 19
## Mn3Fe3Ge2 (SCAN)

Data for a PBEsol-optimized structure of Mn3Fe3Ge2.

abc: 5.0694 5.0694 4.0752
angles: 90.00 90.00 120.00
With the nearest neighbours (Å) after each atom.
Fractional positions:
Mn1 0.0136 0.5068 0.0000  4 Mn 2.43-2.64, 4 Fe 2.48, 4 Ge 2.54
Mn2 0.4932 0.5068 0.0000  4 Mn 2.43-2.64, 4 Fe 2.48, 4 Ge 2.54
Mn3 0.4932 0.9864 0.0000  4 Mn 2.43-2.64, 4 Fe 2.48, 4 Ge 2.54
Fe1 0.1716 0.3432 0.5000  4 Fe 2.46-2.61, 4 Mn 2.48, 4 Ge 2.53-2.54
Fe2 0.1716 0.8284 0.5000  4 Fe 2.46-2.61, 4 Mn 2.48, 4 Ge 2.53-2.54
Fe3 0.6568 0.8284 0.5000  4 Fe 2.46-2.61, 4 Mn 2.48, 4 Ge 2.53-2.54
Ge1 0.0000 0.0000 0.0000  6 Fe 2.53, 6 Mn 2.54
Ge2 0.6667 0.3333 0.5000  6 Fe 2.54, 6 Mn 2.54

Values from the calculation:
* formation energy: -0.11 eV/atom
* space group: No. 187

=====

No. 20
## ZrTi2Ru2 (SCAN)

Data for a PBEsol-optimized structure of ZrTi2Ru2.

abc: 6.1226 6.1226 6.1226
angles: 141.98 141.98 54.85
With the nearest neighbours (Å) after each atom.
Fractional positions:
Zr1 0.0000 0.0000 0.0000  8 Ru 3.08, 8 Ti 3.37
Ti1 0.2500 0.7500 0.5000  4 Ru 2.49
Ti2 0.7500 0.2500 0.5000  4 Ru 2.49
Ru1 0.3868 0.3868 0.0000  1 Ru 2.46, 4 Ti 2.49
Ru2 0.6132 0.6132 0.0000  1 Ru 2.46, 4 Ti 2.49

Values from the calculation:
* formation energy: -0.37 eV/atom
* space group: No. 139

=====

No. 21
## SrBeF4 (SCAN)

Data for a PBEsol-optimized structure of SrBeF4.

abc: 5.3540 8.1380 8.5304
angles: 90.00 127.41 90.00
With the nearest neighbours (Å) after each atom.
Fractional positions:
Sr1 0.0242 0.1934 0.3290  9 F 2.44-2.72
Sr2 0.0242 0.3066 0.8290  9 F 2.44-2.72
Sr3 0.9758 0.6934 0.1710  9 F 2.44-2.72
Sr4 0.9758 0.8066 0.6710  9 F 2.44-2.72
Be1 0.4318 0.5446 0.6834  4 F 1.54-1.56
Be2 0.4318 0.9554 0.1834  4 F 1.54-1.56
Be3 0.5682 0.0446 0.8166  4 F 1.54-1.56
Be4 0.5682 0.4554 0.3166  4 F 1.54-1.56
F1 0.2094 0.0871 0.6781  1 Be 1.56
F2 0.2094 0.4129 0.1781  1 Be 1.56
F3 0.2366 0.6814 0.5291  1 Be 1.55
F4 0.2366 0.8186 0.0291  1 Be 1.55
F5 0.2968 0.5390 0.8024  1 Be 1.56
F6 0.2968 0.9610 0.3024  1 Be 1.56
F7 0.4127 0.1254 0.0963  1 Be 1.54
F8 0.4127 0.3746 0.5963  1 Be 1.54
F9 0.5873 0.6254 0.4037  1 Be 1.54
F10 0.5873 0.8746 0.9037  1 Be 1.54
F11 0.7032 0.0390 0.6976  1 Be 1.56
F12 0.7032 0.4610 0.1976  1 Be 1.56
F13 0.7634 0.1814 0.9709  1 Be 1.55
F14 0.7634 0.3186 0.4709  1 Be 1.55
F15 0.7906 0.5871 0.8219  1 Be 1.56
F16 0.7906 0.9129 0.3219  1 Be 1.56

Values from the calculation:
* space group: No. 14
* formation energy (no corrections): -3.879 eV/atom

=====

No. 22
## OsRuRh2 (SCAN)

Data for a PBEsol-optimized structure of OsRuRh2.

abc: 8.8752 8.8752 8.8752
angles: 17.35 17.35 17.35
With the nearest neighbours (Å) after each atom.
Fractional positions:
Os1 0.0000 0.0000 0.0000  3 Ru 2.64, 6 Os 2.68, 3 Rh 2.68
Ru1 0.2516 0.2516 0.2516  3 Os 2.64, 3 Rh 2.67, 6 Ru 2.68
Rh1 0.5020 0.5020 0.5020  3 Ru 2.67, 9 Rh 2.68-2.72
Rh2 0.7502 0.7502 0.7502  9 Rh 2.68-2.72, 3 Os 2.68

Values from the calculation:
* relative energy among the computed polymorphs: 0.01 eV/f.u.
* formation energy: 0.04 eV/atom
* space group: No. 160

=====

No. 23
## HoAlNi (SCAN)

Data for a PBEsol-optimized structure of HoAlNi.

abc: 6.8295 6.8295 3.8418
angles: 90.00 90.00 120.00
With the nearest neighbours (Å) after each atom.
Fractional positions:
Ho1 0.0000 0.4174 0.0000  5 Ni 2.81-2.85, 6 Al 3.05-3.13
Ho2 0.4174 0.0000 0.0000  5 Ni 2.81-2.85, 6 Al 3.05-3.13
Ho3 0.5826 0.5826 0.0000  5 Ni 2.81-2.85, 6 Al 3.05-3.13
Al1 0.0000 0.7636 0.5000  4 Ni 2.51-2.67, 2 Al 2.80
Al2 0.2364 0.2364 0.5000  4 Ni 2.51-2.67, 2 Al 2.80
Al3 0.7636 0.0000 0.5000  4 Ni 2.51-2.67, 2 Al 2.80
Ni1 0.0000 0.0000 0.0000  6 Al 2.51
Ni2 0.3333 0.6667 0.5000  3 Al 2.67, 6 Ho 2.81
Ni3 0.6667 0.3333 0.5000  3 Al 2.67, 6 Ho 2.81

Values from the calculation:
* formation energy: -0.66 eV/atom
* space group: No. 189

=====

No. 24
## Ba2AlAu (SCAN)

Data for a PBEsol-optimized structure of Ba2AlAu.

abc: 6.4274 6.4274 6.4274
angles: 143.17 127.79 65.60
With the nearest neighbours (Å) after each atom.
Fractional positions:
Ba1 0.0000 0.0000 0.0000  2 Ba 3.47, 4 Au 3.59, 4 Al 3.67-3.68
Ba2 0.6863 0.1863 0.5000  2 Ba 3.47, 4 Au 3.53-3.78, 4 Al 3.64
Al1 0.2837 0.7837 0.5000  2 Au 2.50
Au1 0.4185 0.4185 0.0000  2 Al 2.50

Values from the calculation:
* formation energy: -0.52 eV/atom
* space group: No. 44

=====

No. 25
## Tc2SbAs (SCAN)

Data for a PBEsol-optimized structure of Tc2SbAs.

abc: 3.1209 3.1209 6.3131
angles: 90.00 90.00 90.00
With the nearest neighbours (Å) after each atom.
Fractional positions:
Tc1 0.0000 0.0000 0.2335  4 As 2.65, 4 Sb 2.78, 1 Tc 2.95
Tc2 0.0000 0.0000 0.7665  4 As 2.65, 4 Sb 2.78, 1 Tc 2.95
Sb1 0.5000 0.5000 0.5000  8 Tc 2.78
As1 0.5000 0.5000 0.0000  8 Tc 2.65

Values from the calculation:
* relative energy among the computed polymorphs: 0.21 eV/f.u.
* space group: No. 123
* formation energy (no corrections): 0.042 eV/atom

=====

No. 26
## Be2TeRu (SCAN)

Data for a PBEsol-optimized structure of Be2TeRu.

abc: 4.2382 4.2382 4.6180
angles: 93.26 93.26 44.32
With the nearest neighbours (Å) after each atom.
Fractional positions:
Be1 0.2142 0.2142 0.1340  2 Be 2.12, 1 Ru 2.36
Be2 0.7858 0.7858 0.8660  2 Be 2.12, 1 Ru 2.36
Te1 0.0000 0.0000 0.5000  2 Be 2.46
Ru1 0.5000 0.5000 0.0000  6 Be 2.36-2.37

Values from the calculation:
* space group: No. 12
* formation energy (no corrections): 0.164 eV/atom